# CsPaCuTe3

CsPaCuTe3 after structural relaxation (PBE, Alexandria via LeMat-Bulk).

For the calculated volume, the calculation gives 450.5 Å³ per cell. Its electronic total energy is -57.3 eV/cell. The spin magnetization is 1.0 μB per formula unit. The formation energy (no corrections) comes out at -0.80 eV/atom. The density of states at the Fermi level comes out at 10.6 states/eV/cell.

The structure belongs to space group P2_1/m (No. 11); the cell edges are 10.430, 4.375 and 10.788 Å and the angles 90.00°, 113.78° and 90.00°. Symmetry generates all atoms from Cs at (0.216, 0.250, 0.255), Pa at (0.317, 0.750, 0.842), Cu at (0.091, 0.250, 0.608), Te at (0.119, 0.250, 0.861), Te at (0.192, 0.750, 0.538) and Te at (0.470, 0.750, 0.158).